(1)
## MnCoIr2 (PBE)

Data for a relaxed structure of MnCoIr2.

The space group is P4mm, No. 99. The energy relative to the elements is 0.021 eV/atom.

a = 2.731 Å, b = 2.731 Å, c = 7.127 Å
α = 90.00°, β = 90.00°, γ = 90.00°
Positions (direct):
1 Co 0.500 0.500 0.745
2 Ir 0.000 0.000 0.985
3 Ir 0.500 0.500 0.258
4 Mn 0.000 0.000 0.512

***

(2)
## TcSb2Pt (PBE)

Data for a relaxed structure of TcSb2Pt.

The calculation puts the uncorrected formation energy at 0.0736 eV/atom. The space group is Pmmm, No. 47.

a = 3.431 Å, b = 3.414 Å, c = 7.228 Å
α = 61.81°, β = 90.00°, γ = 90.00°
Positions (direct):
1 Sb 0.000 0.504 0.496
2 Sb 0.000 0.996 0.004
3 Pt 0.500 0.750 0.750
4 Tc 0.500 0.250 0.250

***

(3)
## SrAlCdHg2 (PBE)

Data for a relaxed structure of SrAlCdHg2.

The space group is P4/mmm, No. 123. The energy relative to the elements is -0.123 eV/atom.

a = 5.253 Å, b = 5.253 Å, c = 5.280 Å
α = 90.00°, β = 90.00°, γ = 90.00°
Positions (direct):
1 Cd 0.000 0.000 0.500
2 Al 0.000 0.000 0.000
3 Sr 0.500 0.500 0.500
4 Hg 0.500 0.000 0.000
5 Hg 0.000 0.500 0.000

***

no.,density of states at the Fermi level (states/eV/f.u.),total energy (eV/atom)
1,5.18,-8.4784
2,1.89,-6.0893
3,2.05,-1.5113